# GGA-PBE CaHfS3, optimized geometry
data_CaHfS3
_chemical_formula_sum 'Ca4 Hf4 S12'
_cell_length_a 6.558
_cell_length_b 7.015
_cell_length_c 9.589
_cell_angle_alpha 90.00
_cell_angle_beta 90.00
_cell_angle_gamma 90.00
_symmetry_space_group_name_H-M 'P 1'
_symmetry_Int_Tables_number 1
loop_
_symmetry_equiv_pos_as_xyz
'x,y,z'
loop_
_atom_site_label
_atom_site_type_symbol
_atom_site_fract_x
_atom_site_fract_y
_atom_site_fract_z
_atom_site_occupancy
Ca1 Ca 0.468 0.591 0.250 1
Ca2 Ca 0.032 0.091 0.250 1
Ca3 Ca 0.532 0.409 0.750 1
Ca4 Ca 0.968 0.909 0.750 1
Hf1 Hf 0.000 0.500 0.000 1
Hf2 Hf 0.500 0.000 0.500 1
Hf3 Hf 0.000 0.500 0.500 1
Hf4 Hf 0.500 0.000 0.000 1
S1 S 0.879 0.468 0.250 1
S2 S 0.621 0.968 0.250 1
S3 S 0.121 0.532 0.750 1
S4 S 0.379 0.032 0.750 1
S5 S 0.685 0.691 0.939 1
S6 S 0.815 0.191 0.561 1
S7 S 0.315 0.309 0.439 1
S8 S 0.185 0.809 0.061 1
S9 S 0.315 0.309 0.061 1
S10 S 0.185 0.809 0.439 1
S11 S 0.685 0.691 0.561 1
S12 S 0.815 0.191 0.939 1
# Electronic total energy in eV/atom: -6.643
# Formation energy from raw total energies in eV/atom: -1.775
# Space-group type: No. 62